Compound: Mg2GaF
Source: the Alexandria database
Functional: PBE-GGA
Structure: relaxed

Output
D(E_F) = 0.20 states/eV/atom
Space group = I-42d (122)
Relative energy among the computed polymorphs = 0 meV per atom
E_tot = -3.0856 eV/atom

Lattice parameters (Å, degrees): 6.4350 6.4350 5.7586 56.03 56.03 90.00
Element x y z (fractional)
Mg1 0.5410 0.1250 0.2500
Mg2 0.2090 0.6250 0.2500
Mg3 0.3750 0.4590 0.7500
Mg4 0.8750 0.7910 0.7500
Ga1 0.0000 0.0000 0.0000
Ga2 0.7500 0.2500 0.5000
F1 0.5000 0.5000 0.0000
F2 0.2500 0.7500 0.5000